Record 1
A geometry-optimized La6In2Hg structure, computed with PBE.

abc: 9.8287 10.1659 5.6378
angles: 90.00 90.00 90.00
Space group Pnnm (No. 58)
Unique sites:
1 La 0.0047 0.1811 0.0000 (multiplicity 4)
2 La 0.1637 0.6001 0.5000 (multiplicity 4)
3 La 0.1680 0.8985 0.5000 (multiplicity 4)
4 In 0.1708 0.2521 0.5000 (multiplicity 4)
5 Hg 0.0000 0.5000 0.0000 (multiplicity 2)

- distance to the lowest polymorph of the same formula (eV/atom) = 0.0466
- calculated formation energy (eV/atom) = -0.301
- total energy (eV/atom) = -4.228

=====

Record 2
A geometry-optimized LaInHg structure, computed with PBE.

abc: 4.9093 13.0966 5.2310
angles: 90.00 90.00 90.00
Space group Cmcm (No. 63)
Unique sites:
1 La 0.0000 0.1046 0.2500 (multiplicity 4)
2 In 0.0000 0.4160 0.2500 (multiplicity 4)
3 Hg 0.0000 0.2405 0.7500 (multiplicity 4)

- calculated formation energy (eV/atom) = -0.484
- total energy (eV/atom) = -3.140